Density functional theory data (GGA-PBE) for an optimized crystal structure of LiAlTe.

Values from the calculation:
E (eV per atom): -3.04
Crystal system: tetragonal
Polymorph energy (0 for the lowest one) (meV per atom): 182
E_form (uncorrected) (eV per formula unit): -0.31
Fermi-level density of states (states/eV per cell): 3.22

a = 5.4558 Å, b = 5.4558 Å, c = 5.5693 Å
α = 90.00°, β = 90.00°, γ = 90.00°
Closest atoms and distances in Å follow each position.
Fractional coordinates of all 6 atoms:
Te1 0.0000 0.5000 0.3027  2 Li 2.76-2.81, 4 Al 2.94
Te2 0.5000 0.0000 0.6973  2 Li 2.76-2.81, 4 Al 2.94
Al1 0.0000 0.0000 0.5000  4 Te 2.94, 4 Li 3.22
Al2 0.5000 0.5000 0.5000  4 Te 2.94, 4 Li 3.22
Li1 0.0000 0.5000 0.8072  2 Te 2.76-2.81
Li2 0.5000 0.0000 0.1928  2 Te 2.76-2.81

***

Density functional theory data (GGA-PBE) for an optimized crystal structure of Pm3MgGa.

Values from the calculation:
E (eV per atom): -3.98
Crystal system: cubic
Formation energy from the elements (eV per atom): -0.20
Polymorph energy (0 for the lowest one) (meV per atom): 39
Fermi-level density of states (states/eV per cell): 14.71

a = 7.5336 Å, b = 7.5336 Å, c = 7.5336 Å
α = 90.00°, β = 90.00°, γ = 90.00°
Closest atoms and distances in Å follow each position.
Fractional coordinates of all 15 atoms:
Pm1 0.5000 0.5000 0.5000  8 Pm 3.45, 6 Mg 3.77
Pm2 0.2352 0.2352 0.2352  3 Ga 3.20, 3 Mg 3.33, 4 Pm 3.45-3.54
Pm3 0.7648 0.7648 0.2352  3 Ga 3.20, 3 Mg 3.33, 4 Pm 3.45-3.54
Pm4 0.7648 0.2352 0.7648  3 Ga 3.20, 3 Mg 3.33, 4 Pm 3.45-3.54
Pm5 0.2352 0.7648 0.7648  3 Ga 3.20, 3 Mg 3.33, 4 Pm 3.45-3.54
Pm6 0.2352 0.2352 0.7648  3 Ga 3.20, 3 Mg 3.33, 4 Pm 3.45-3.54
Pm7 0.7648 0.7648 0.7648  3 Ga 3.20, 3 Mg 3.33, 4 Pm 3.45-3.54
Pm8 0.2352 0.7648 0.2352  3 Ga 3.20, 3 Mg 3.33, 4 Pm 3.45-3.54
Pm9 0.7648 0.2352 0.2352  3 Ga 3.20, 3 Mg 3.33, 4 Pm 3.45-3.54
Mg1 0.0000 0.5000 0.5000  8 Pm 3.33
Mg2 0.5000 0.0000 0.5000  8 Pm 3.33
Mg3 0.5000 0.5000 0.0000  8 Pm 3.33
Ga1 0.5000 0.0000 0.0000  8 Pm 3.20
Ga2 0.0000 0.5000 0.0000  8 Pm 3.20
Ga3 0.0000 0.0000 0.5000  8 Pm 3.20

***

Density functional theory data (GGA-PBE) for an optimized crystal structure of NdSb5.

Values from the calculation:
E (eV per atom): -4.48
Crystal system: orthorhombic
E_form (uncorrected) (eV per formula unit): -1.52
Fermi-level density of states (states/eV per cell): 3.33

a = 4.5219 Å, b = 4.5390 Å, c = 8.6024 Å
α = 105.30°, β = 90.00°, γ = 90.00°
Closest atoms and distances in Å follow each position.
Fractional coordinates of all 6 atoms:
Sb1 0.0000 0.6578 0.3157  6 Sb 3.20-3.46, 2 Nd 3.47
Sb2 0.0000 0.3422 0.6843  6 Sb 3.20-3.46, 2 Nd 3.47
Sb3 0.5000 0.5000 0.0000  4 Nd 3.20, 8 Sb 3.46-3.48
Sb4 0.5000 0.1591 0.3181  6 Sb 3.20-3.48, 2 Nd 3.48
Sb5 0.5000 0.8409 0.6819  6 Sb 3.20-3.48, 2 Nd 3.48
Nd1 0.0000 0.0000 0.0000  12 Sb 3.20-3.48